Density functional theory data (GGA-PBEsol) for Hg5Cl after structural relaxation.

Lattice parameters (Å, degrees): 3.779 5.582 7.393 112.18 90.00 90.00
Positions (direct):
Hg: 0.000 0.164 0.328
Cl: 0.000 0.500 0.000
Hg: 0.000 0.836 0.672
Hg: 0.500 0.333 0.666
Hg: 0.500 0.000 0.000
Hg: 0.500 0.667 0.334

Calculated volume ... 144.4 Å³/f.u.
Energy above the most stable polymorph in this dataset ... 0.023 eV per atom
Energy relative to the elements, uncorrected ... -100 meV/atom